[1]
DFT (PBE) results for a relaxed MnAlTe2 crystal.

The structure belongs to space group P2/m (No. 10); the cell edges are 3.110, 4.006 and 8.074 Å and the angles 90.00°, 99.84° and 90.00°. The asymmetric unit holds Mn at (0.000, 0.000, 0.000), Al at (0.000, 0.000, 0.500) and Te at (0.166, 0.500, 0.772).

The value obtained for the formation energy from raw total energies is 12.1 kJ per mole of atoms. For the total energy, the calculation gives -18.69 eV/cell.

[2]
DFT (PBE) results for a relaxed Mn4AlTe crystal.

The structure belongs to space group F-43m (No. 216); the cell edges are 6.938, 6.938 and 6.938 Å and the angles 90.00°, 90.00° and 90.00°. The asymmetric unit holds Mn at (0.124, 0.124, 0.376), Al at (0.250, 0.250, 0.750) and Te at (0.000, 0.000, 0.000).

The value obtained for the formation energy from raw total energies is 29.0 kJ per mole of atoms. For the total energy, the calculation gives -167.03 eV/cell.